A relaxed structure of NbIrN3, computed with PBEsol. Values from VASP.

Results
M_tot   0.0 Bohr magnetons per cell
Energy   -8.29 eV per atom

Geometry as Quantum ESPRESSO input:
```
&SYSTEM
  ibrav = 0, nat = 5, ntyp = 3
/
ATOMIC_SPECIES
N 14.01 N.upf
Ir 192.22 Ir.upf
Nb 92.91 Nb.upf
CELL_PARAMETERS angstrom
3.8145 0.0000 0.0000
0.0000 3.8145 0.0000
0.0000 0.0000 3.8145
ATOMIC_POSITIONS angstrom
N 1.9073 0.0000 0.0000
N 0.0000 1.9073 0.0000
N 0.0000 0.0000 1.9073
Ir 0.0000 0.0000 0.0000
Nb 1.9073 1.9073 1.9073
```